(1)
FeI3: optimized geometry, PBE.

Computed properties:
As for the uncorrected formation energy: -0.015 eV per atom. As for the raw total energy: -0.242 Ry per atom.

Cell and atoms, written as CIF:
```
data_FeI3
_chemical_formula_sum 'Fe1 I3'
_cell_length_a 7.424
_cell_length_b 7.424
_cell_length_c 7.424
_cell_angle_alpha 151.96
_cell_angle_beta 68.68
_cell_angle_gamma 118.75
_symmetry_space_group_name_H-M 'P 1'
_symmetry_Int_Tables_number 1
loop_
_symmetry_equiv_pos_as_xyz
'x,y,z'
loop_
_atom_site_label
_atom_site_fract_x
_atom_site_fract_y
_atom_site_fract_z
Fe1 0.000 0.000 0.000
I1 0.010 0.359 0.651
I2 0.283 0.783 0.500
I3 0.707 0.359 0.349
```


(2)
FeI3: optimized geometry, PBE.

Computed properties:
As for the uncorrected formation energy: 0.813 eV per atom. As for the raw total energy: -0.181 Ry per atom.

Cell and atoms, written as CIF:
```
data_FeI3
_chemical_formula_sum 'Fe1 I3'
_cell_length_a 5.546
_cell_length_b 5.546
_cell_length_c 5.546
_cell_angle_alpha 60.00
_cell_angle_beta 60.00
_cell_angle_gamma 60.00
_symmetry_space_group_name_H-M 'P 1'
_symmetry_Int_Tables_number 1
loop_
_symmetry_equiv_pos_as_xyz
'x,y,z'
loop_
_atom_site_label
_atom_site_fract_x
_atom_site_fract_y
_atom_site_fract_z
Fe1 0.000 0.000 0.000
I1 0.250 0.250 0.250
I2 0.500 0.500 0.500
I3 0.750 0.750 0.750
```


(3)
FeI: optimized geometry, PBE.

Computed properties:
As for the uncorrected formation energy: 0.728 eV per atom. As for the raw total energy: -0.314 Ry per atom. As for the energy relative to the lowest polymorph listed for this composition: 0.714 eV per atom.

Cell and atoms, written as CIF:
```
data_FeI
_chemical_formula_sum 'Fe1 I1'
_cell_length_a 4.014
_cell_length_b 4.014
_cell_length_c 4.014
_cell_angle_alpha 60.00
_cell_angle_beta 60.00
_cell_angle_gamma 60.00
_symmetry_space_group_name_H-M 'P 1'
_symmetry_Int_Tables_number 1
loop_
_symmetry_equiv_pos_as_xyz
'x,y,z'
loop_
_atom_site_label
_atom_site_fract_x
_atom_site_fract_y
_atom_site_fract_z
Fe1 0.000 0.000 0.000
I1 0.500 0.500 0.500
```


(4)
FeI3: optimized geometry, PBE.

Computed properties:
As for the uncorrected formation energy: 0.352 eV per atom. As for the raw total energy: -0.215 Ry per atom.

Cell and atoms, written as CIF:
```
data_FeI3
_chemical_formula_sum 'Fe2 I6'
_cell_length_a 7.338
_cell_length_b 7.338
_cell_length_c 7.338
_cell_angle_alpha 118.88
_cell_angle_beta 118.88
_cell_angle_gamma 91.95
_symmetry_space_group_name_H-M 'P 1'
_symmetry_Int_Tables_number 1
loop_
_symmetry_equiv_pos_as_xyz
'x,y,z'
loop_
_atom_site_label
_atom_site_fract_x
_atom_site_fract_y
_atom_site_fract_z
Fe1 0.000 0.000 0.000
Fe2 0.750 0.250 0.500
I1 0.003 0.625 0.878
I2 0.250 0.750 0.500
I3 0.375 0.253 0.378
I4 0.500 0.500 0.000
I5 0.747 0.125 0.122
I6 0.875 0.997 0.622
```


(5)
FeI: optimized geometry, PBE.

Computed properties:
As for the uncorrected formation energy: 0.173 eV per atom. As for the raw total energy: -0.355 Ry per atom. As for the energy relative to the lowest polymorph listed for this composition: 0.159 eV per atom.

Cell and atoms, written as CIF:
```
data_FeI
_chemical_formula_sum 'Fe6 I6'
_cell_length_a 13.322
_cell_length_b 4.263
_cell_length_c 6.772
_cell_angle_alpha 90.00
_cell_angle_beta 90.00
_cell_angle_gamma 90.00
_symmetry_space_group_name_H-M 'P 1'
_symmetry_Int_Tables_number 1
loop_
_symmetry_equiv_pos_as_xyz
'x,y,z'
loop_
_atom_site_label
_atom_site_fract_x
_atom_site_fract_y
_atom_site_fract_z
Fe1 0.000 0.242 0.000
Fe2 0.086 0.742 0.920
Fe3 0.414 0.258 0.420
Fe4 0.500 0.758 0.500
Fe5 0.586 0.258 0.420
Fe6 0.914 0.742 0.920
I1 0.000 0.742 0.272
I2 0.168 0.242 0.751
I3 0.332 0.758 0.251
I4 0.500 0.258 0.772
I5 0.668 0.758 0.251
I6 0.832 0.242 0.751
```


(6)
FeI: optimized geometry, PBE.

Computed properties:
As for the uncorrected formation energy: 0.395 eV per atom. As for the raw total energy: -0.339 Ry per atom. As for the energy relative to the lowest polymorph listed for this composition: 0.380 eV per atom.

Cell and atoms, written as CIF:
```
data_FeI
_chemical_formula_sum 'Fe6 I6'
_cell_length_a 3.936
_cell_length_b 12.311
_cell_length_c 6.685
_cell_angle_alpha 90.00
_cell_angle_beta 90.00
_cell_angle_gamma 90.00
_symmetry_space_group_name_H-M 'P 1'
_symmetry_Int_Tables_number 1
loop_
_symmetry_equiv_pos_as_xyz
'x,y,z'
loop_
_atom_site_label
_atom_site_fract_x
_atom_site_fract_y
_atom_site_fract_z
Fe1 0.250 0.058 0.023
Fe2 0.250 0.442 0.023
Fe3 0.250 0.750 0.468
Fe4 0.750 0.250 0.532
Fe5 0.750 0.558 0.977
Fe6 0.750 0.942 0.977
I1 0.250 0.250 0.794
I2 0.250 0.582 0.708
I3 0.250 0.918 0.708
I4 0.750 0.082 0.292
I5 0.750 0.418 0.292
I6 0.750 0.750 0.206
```


(7)
FeI3: optimized geometry, PBE.

Computed properties:
As for the uncorrected formation energy: -0.014 eV per atom. As for the raw total energy: -0.242 Ry per atom.

Cell and atoms, written as CIF:
```
data_FeI3
_chemical_formula_sum 'Fe2 I6'
_cell_length_a 5.792
_cell_length_b 13.777
_cell_length_c 3.785
_cell_angle_alpha 90.00
_cell_angle_beta 90.00
_cell_angle_gamma 90.00
_symmetry_space_group_name_H-M 'P 1'
_symmetry_Int_Tables_number 1
loop_
_symmetry_equiv_pos_as_xyz
'x,y,z'
loop_
_atom_site_label
_atom_site_fract_x
_atom_site_fract_y
_atom_site_fract_z
Fe1 0.250 0.250 0.235
Fe2 0.750 0.750 0.765
I1 0.250 0.108 0.735
I2 0.250 0.392 0.735
I3 0.250 0.750 0.766
I4 0.750 0.250 0.234
I5 0.750 0.608 0.265
I6 0.750 0.892 0.265
```


(8)
FeI3: optimized geometry, PBE.

Computed properties:
As for the uncorrected formation energy: -0.043 eV per atom. As for the raw total energy: -0.244 Ry per atom.

Cell and atoms, written as CIF:
```
data_FeI3
_chemical_formula_sum 'Fe2 I6'
_cell_length_a 6.796
_cell_length_b 6.796
_cell_length_c 7.388
_cell_angle_alpha 90.00
_cell_angle_beta 90.00
_cell_angle_gamma 120.00
_symmetry_space_group_name_H-M 'P 1'
_symmetry_Int_Tables_number 1
loop_
_symmetry_equiv_pos_as_xyz
'x,y,z'
loop_
_atom_site_label
_atom_site_fract_x
_atom_site_fract_y
_atom_site_fract_z
Fe1 0.333 0.667 0.000
Fe2 0.667 0.333 0.000
I1 0.000 0.370 0.799
I2 0.000 0.630 0.201
I3 0.370 0.000 0.799
I4 0.370 0.370 0.201
I5 0.630 0.000 0.201
I6 0.630 0.630 0.799
```


(9)
FeI: optimized geometry, PBE.

Computed properties:
As for the uncorrected formation energy: 0.653 eV per atom. As for the raw total energy: -0.320 Ry per atom. As for the energy relative to the lowest polymorph listed for this composition: 0.639 eV per atom.

Cell and atoms, written as CIF:
```
data_FeI
_chemical_formula_sum 'Fe6 I6'
_cell_length_a 7.443
_cell_length_b 7.443
_cell_length_c 7.443
_cell_angle_alpha 90.00
_cell_angle_beta 90.00
_cell_angle_gamma 90.00
_symmetry_space_group_name_H-M 'P 1'
_symmetry_Int_Tables_number 1
loop_
_symmetry_equiv_pos_as_xyz
'x,y,z'
loop_
_atom_site_label
_atom_site_fract_x
_atom_site_fract_y
_atom_site_fract_z
Fe1 0.000 0.250 0.500
Fe2 0.000 0.750 0.500
Fe3 0.250 0.500 0.000
Fe4 0.500 0.000 0.250
Fe5 0.500 0.000 0.750
Fe6 0.750 0.500 0.000
I1 0.000 0.500 0.250
I2 0.000 0.500 0.750
I3 0.250 0.000 0.500
I4 0.500 0.250 0.000
I5 0.500 0.750 0.000
I6 0.750 0.000 0.500
```


(10)
FeI: optimized geometry, PBE.

Computed properties:
As for the uncorrected formation energy: 0.014 eV per atom. As for the raw total energy: -0.367 Ry per atom. As for the energy relative to the lowest polymorph listed for this composition: 0.000 eV per atom.

Cell and atoms, written as CIF:
```
data_FeI
_chemical_formula_sum 'Fe4 I4'
_cell_length_a 8.524
_cell_length_b 8.524
_cell_length_c 8.524
_cell_angle_alpha 93.04
_cell_angle_beta 93.04
_cell_angle_gamma 153.36
_symmetry_space_group_name_H-M 'P 1'
_symmetry_Int_Tables_number 1
loop_
_symmetry_equiv_pos_as_xyz
'x,y,z'
loop_
_atom_site_label
_atom_site_fract_x
_atom_site_fract_y
_atom_site_fract_z
Fe1 0.062 0.581 0.643
Fe2 0.419 0.062 0.482
Fe3 0.581 0.938 0.518
Fe4 0.938 0.419 0.357
I1 0.241 0.435 0.676
I2 0.435 0.759 0.194
I3 0.565 0.241 0.806
I4 0.759 0.565 0.324
```


(11)
InFe3I: optimized geometry, PBE.

Computed properties:
As for the uncorrected formation energy: 1.292 eV per atom. As for the raw total energy: -0.341 Ry per atom. As for the energy relative to the lowest polymorph listed for this composition: 0.000 eV per atom.

Cell and atoms, written as CIF:
```
data_InFe3I
_chemical_formula_sum 'In1 Fe3 I1'
_cell_length_a 4.710
_cell_length_b 4.710
_cell_length_c 4.710
_cell_angle_alpha 90.00
_cell_angle_beta 90.00
_cell_angle_gamma 90.00
_symmetry_space_group_name_H-M 'P 1'
_symmetry_Int_Tables_number 1
loop_
_symmetry_equiv_pos_as_xyz
'x,y,z'
loop_
_atom_site_label
_atom_site_fract_x
_atom_site_fract_y
_atom_site_fract_z
In1 0.000 0.000 0.000
Fe1 0.000 0.500 0.500
Fe2 0.500 0.000 0.500
Fe3 0.500 0.500 0.000
I1 0.500 0.500 0.500
```


(12)
InFe4I2: optimized geometry, PBE.

Computed properties:
As for the uncorrected formation energy: 1.255 eV per atom. As for the raw total energy: -0.324 Ry per atom.

Cell and atoms, written as CIF:
```
data_InFe4I2
_chemical_formula_sum 'In1 Fe4 I2'
_cell_length_a 7.739
_cell_length_b 7.739
_cell_length_c 7.739
_cell_angle_alpha 142.00
_cell_angle_beta 142.00
_cell_angle_gamma 54.83
_symmetry_space_group_name_H-M 'P 1'
_symmetry_Int_Tables_number 1
loop_
_symmetry_equiv_pos_as_xyz
'x,y,z'
loop_
_atom_site_label
_atom_site_fract_x
_atom_site_fract_y
_atom_site_fract_z
In1 0.000 0.000 0.000
Fe1 0.000 0.500 0.500
Fe2 0.184 0.184 0.000
Fe3 0.500 0.000 0.500
Fe4 0.816 0.816 0.000
I1 0.369 0.369 0.000
I2 0.631 0.631 0.000
```